(1)
# Rb2BiOsF6

A relaxed Rb2BiOsF6 crystal (GGA-PBE, Alexandria).

The calculation puts the formation energy (no corrections) at -40.542 kcal/mol of atoms.

The space group is I4/mmm (No. 139) and the conventional cell measures 6.211, 6.211 and 11.223 Å, with angles of 90.00, 90.00 and 90.00 degrees. The distinct sites, in fractional coordinates, are Rb at (0.000, 0.500, 0.250), Bi at (0.000, 0.000, 0.000), Os at (0.000, 0.000, 0.500), F at (0.000, 0.000, 0.318) and F at (0.235, 0.235, 0.500).

(2)
# Hf5Mn2H12

A relaxed Hf5Mn2H12 crystal (GGA-PBE, Alexandria).

The space group is C2/m (No. 12) and the conventional cell measures 9.682, 5.298 and 6.437 Å, with angles of 90.00, 101.61 and 90.00 degrees. The distinct sites, in fractional coordinates, are Hf at (0.000, 0.000, 0.000), Hf at (0.152, 0.500, 0.867), Hf at (0.221, 0.500, 0.345), Mn at (0.000, 0.229, 0.500), H at (0.020, 0.500, 0.355), H at (0.070, 0.000, 0.364), H at (0.170, 0.305, 0.598) and H at (0.173, 0.234, 0.102).

Number 1: spin magnetization 2.06 μB/cell, raw total energy -4.5855 eV/atom. Number 2: spin magnetization 1.71 μB/cell, raw total energy -5.9897 eV/atom.